# CdAgPb4 | Alexandria via LeMat-Bulk | PBE | optimized geometry
data_CdAgPb4
_symmetry_space_group_name_H-M 'F -4 3 m'
_symmetry_Int_Tables_number 216
_symmetry_space_group_name_Hall 'F -4 2 3'
_cell_length_a 9.1062
_cell_length_b 9.1062
_cell_length_c 9.1062
_cell_angle_alpha 90.00
_cell_angle_beta 90.00
_cell_angle_gamma 90.00
loop_
_atom_site_label
_atom_site_type_symbol
_atom_site_fract_x
_atom_site_fract_y
_atom_site_fract_z
Cd1 Cd 0.0000 0.0000 0.0000
Ag1 Ag 0.2500 0.2500 0.2500
Pb1 Pb 0.1249 0.1249 0.6249
# Calculated volume, A^3/atom: 31.5
# Formation enthalpy at 0 K, eV/atom: 0.32
# M_tot, μB per formula unit: 0.00